Computed, not measured: a relaxed structure of Rb3PaTl2Te6 at the PBE-GGA level of DFT.

Results
Its crystal system is monoclinic. The total energy comes out at -89.2 eV/cell. The calculation puts the density of states at the Fermi level at 6.91 states/eV/f.u.

a = 8.094 Å, b = 14.069 Å, c = 8.916 Å
α = 90.00°, β = 107.51°, γ = 90.00°
Space group C2/m (No. 12)
One atom of each set of equivalent atoms:
Rb  0.000  0.000  0.000 [2 per cell]
Rb  0.000  0.323  0.000 [4 per cell]
Pa  0.000  0.500  0.500 [2 per cell]
Tl  0.000  0.164  0.500 [4 per cell]
Te  0.221  0.346  0.701 [8 per cell]
Te  0.236  0.500  0.293 [4 per cell]